1 | This record from Alexandria describes an optimized crystal structure of AlTlW2. The functional is GGA-PBE.

a = 3.2668 Å, b = 3.2669 Å, c = 7.5093 Å
α = 64.15°, β = 90.00°, γ = 90.00°
Closest atoms and distances in Å follow each position.
Sites, in units of the cell vectors:
W1 0.5000 0.2498 0.2504  4 Al 2.69, 4 W 2.70
W2 0.0000 0.9571 0.0427  4 W 2.70, 1 Al 2.79
Al1 0.0000 0.5441 0.4555  5 W 2.69-2.79
Tl1 0.5000 0.7491 0.7515  6 W 3.03-3.39, 4 Al 3.05-3.06, 4 Tl 3.27

***

2 | This record from Alexandria describes an optimized crystal structure of AlTlW2. The functional is GGA-PBE.

a = 4.9370 Å, b = 4.9370 Å, c = 4.9370 Å
α = 129.86°, β = 129.86°, γ = 73.63°
Closest atoms and distances in Å follow each position.
Sites, in units of the cell vectors:
Al1 0.5000 0.5000 0.0000  8 W 2.88-2.96, 4 Tl 2.88
W1 0.0000 0.0000 0.0000  4 Tl 2.88, 4 W 2.88, 4 Al 2.96
W2 0.2500 0.7500 0.5000  4 Al 2.88, 4 W 2.88, 4 Tl 2.96
Tl1 0.7500 0.2500 0.5000  4 Al 2.88, 8 W 2.88-2.96

***

3 | This record from Alexandria describes an optimized crystal structure of AlTlW2. The functional is GGA-PBE.

a = 4.6114 Å, b = 4.6114 Å, c = 4.6114 Å
α = 60.00°, β = 60.00°, γ = 60.00°
Closest atoms and distances in Å follow each position.
Sites, in units of the cell vectors:
Al1 0.5000 0.5000 0.5000  4 Tl 2.82, 4 W 2.82
Tl1 0.2500 0.2500 0.2500  4 W 2.82, 4 Al 2.82
W1 0.7500 0.7500 0.7500  4 W 2.82, 4 Al 2.82
W2 0.0000 0.0000 0.0000  4 Tl 2.82, 4 W 2.82

***

4 | This record from Alexandria describes an optimized crystal structure of AlTlW2. The functional is GGA-PBE.

a = 3.3867 Å, b = 3.3867 Å, c = 6.3434 Å
α = 90.00°, β = 90.00°, γ = 90.00°
Closest atoms and distances in Å follow each position.
Sites, in units of the cell vectors:
Tl1 0.5000 0.5000 0.7500  8 W 3.09, 2 Al 3.17, 4 Tl 3.39
Al1 0.5000 0.5000 0.2500  8 W 2.69
W1 0.0000 0.0000 0.4431  1 W 2.45, 4 Al 2.69
W2 0.0000 0.0000 0.0569  1 W 2.45, 4 Al 2.69

***

Tell me which of them is the most stable. Sure, it is 1.